No. 1
! Li4TmZn2 (PBE, optimized geometry); values from VASP
&SYSTEM
  ibrav = 0, nat = 7, ntyp = 3
/
ATOMIC_SPECIES
Zn 65.41 Zn.upf
Li 6.94 Li.upf
Tm 168.93 Tm.upf
CELL_PARAMETERS angstrom
3.257 0.000 0.000
0.000 4.439 -0.978
0.000 -0.270 9.337
ATOMIC_POSITIONS crystal
Zn 0.500 0.428 0.856
Zn 0.500 0.572 0.144
Li 0.000 0.308 0.616
Li 0.500 0.838 0.677
Li 0.500 0.162 0.323
Li 0.000 0.692 0.384
Tm 0.000 0.000 0.000
! DOS(E_F) in states/eV/atom: 0.685
! ΔH_f (0 K) in meV per atom: -108

=====

No. 2
! Li5Tm2Zn12 (PBE, optimized geometry); values from VASP
&SYSTEM
  ibrav = 0, nat = 19, ntyp = 3
/
ATOMIC_SPECIES
Zn 65.41 Zn.upf
Tm 168.93 Tm.upf
Li 6.94 Li.upf
CELL_PARAMETERS angstrom
6.717 0.112 0.687
0.631 6.689 0.687
0.121 0.112 6.751
ATOMIC_POSITIONS crystal
Zn 0.701 0.299 0.000
Zn 0.156 0.652 0.652
Zn 0.701 0.000 0.299
Zn 0.299 0.701 0.000
Zn 0.652 0.652 0.156
Zn 0.299 0.000 0.701
Zn 0.348 0.844 0.348
Zn 0.000 0.299 0.701
Zn 0.000 0.701 0.299
Zn 0.348 0.348 0.844
Zn 0.652 0.156 0.652
Zn 0.844 0.348 0.348
Tm 0.347 0.347 0.347
Tm 0.653 0.653 0.653
Li 0.000 0.000 0.500
Li 0.500 0.000 0.000
Li 0.000 0.500 0.000
Li 0.903 0.903 0.903
Li 0.097 0.097 0.097
! DOS(E_F) in states/eV/atom: 0.462
! ΔH_f (0 K) in meV per atom: -228

=====

No. 3
! Li2TmZn2 (PBE, optimized geometry); values from VASP
&SYSTEM
  ibrav = 0, nat = 10, ntyp = 3
/
ATOMIC_SPECIES
Li 6.94 Li.upf
Zn 65.41 Zn.upf
Tm 168.93 Tm.upf
CELL_PARAMETERS angstrom
4.349 0.000 -0.835
-0.127 3.376 -0.663
0.237 0.800 12.972
ATOMIC_POSITIONS crystal
Li 0.944 0.194 0.887
Li 0.455 0.705 0.911
Li 0.056 0.806 0.113
Li 0.545 0.295 0.089
Zn 0.376 0.126 0.753
Zn 0.624 0.874 0.247
Zn 0.275 0.025 0.549
Zn 0.725 0.975 0.451
Tm 0.826 0.576 0.652
Tm 0.174 0.424 0.348
! DOS(E_F) in states/eV/atom: 0.623
! ΔH_f (0 K) in meV per atom: -187

=====

No. 4
! LiTmZn4 (PBE, optimized geometry); values from VASP
&SYSTEM
  ibrav = 0, nat = 12, ntyp = 3
/
ATOMIC_SPECIES
Li 6.94 Li.upf
Zn 65.41 Zn.upf
Tm 168.93 Tm.upf
CELL_PARAMETERS angstrom
4.358 -0.001 0.001
0.001 5.964 2.162
-0.001 0.356 8.324
ATOMIC_POSITIONS crystal
Li 0.750 0.139 0.223
Li 0.250 0.861 0.777
Zn 0.250 0.833 0.412
Zn 0.750 0.167 0.588
Zn 0.750 0.552 0.917
Zn 0.250 0.254 0.412
Zn 0.750 0.030 0.917
Zn 0.750 0.746 0.588
Zn 0.250 0.448 0.083
Zn 0.250 0.970 0.083
Tm 0.250 0.387 0.725
Tm 0.750 0.613 0.275
! DOS(E_F) in states/eV/atom: 0.639
! ΔH_f (0 K) in meV per atom: -243

=====

No. 5
! LiTm4Zn5 (PBE, optimized geometry); values from VASP
&SYSTEM
  ibrav = 0, nat = 10, ntyp = 3
/
ATOMIC_SPECIES
Zn 65.41 Zn.upf
Tm 168.93 Tm.upf
Li 6.94 Li.upf
CELL_PARAMETERS angstrom
3.461 0.000 0.000
0.000 3.461 0.000
0.000 0.000 17.263
ATOMIC_POSITIONS crystal
Zn 0.500 0.500 0.916
Zn 0.500 0.500 0.294
Zn 0.500 0.500 0.706
Zn 0.500 0.500 0.500
Zn 0.500 0.500 0.084
Tm 0.000 0.000 0.190
Tm 0.000 0.000 0.603
Tm 0.000 0.000 0.810
Tm 0.000 0.000 0.397
Li 0.000 0.000 0.000
! DOS(E_F) in states/eV/atom: 0.681
! ΔH_f (0 K) in meV per atom: -296

=====

No. 6
! LiTm6Zn5 (PBE, optimized geometry); values from VASP
&SYSTEM
  ibrav = 0, nat = 12, ntyp = 3
/
ATOMIC_SPECIES
Zn 65.41 Zn.upf
Tm 168.93 Tm.upf
Li 6.94 Li.upf
CELL_PARAMETERS angstrom
0.324 -4.589 -1.921
6.083 1.766 -3.191
3.982 -4.550 5.072
ATOMIC_POSITIONS crystal
Zn 0.666 0.500 0.669
Zn 0.000 0.500 0.000
Zn 0.339 0.000 0.322
Zn 0.334 0.500 0.331
Zn 0.661 0.000 0.678
Tm 0.169 0.251 0.662
Tm 0.500 0.257 0.000
Tm 0.831 0.251 0.338
Tm 0.500 0.743 0.000
Tm 0.831 0.749 0.338
Tm 0.169 0.749 0.662
Li 0.000 0.000 0.000
! DOS(E_F) in states/eV/atom: 1.010
! ΔH_f (0 K) in meV per atom: -282